First-principles (PBE) data for Gd3Te2NO after structural relaxation, as listed in the Alexandria database.

abc: 13.523 4.107 12.226
angles: 90.00 90.00 90.00
Element x y z (fractional)
Gd: 0.022 0.250 0.121
Gd: 0.105 0.750 0.614
Gd: 0.189 0.250 0.852
Gd: 0.311 0.750 0.352
Gd: 0.395 0.250 0.114
Gd: 0.478 0.750 0.621
Gd: 0.522 0.250 0.379
Gd: 0.605 0.750 0.886
Gd: 0.689 0.250 0.648
Gd: 0.811 0.750 0.148
Gd: 0.895 0.250 0.386
Gd: 0.978 0.750 0.879
Te: 0.066 0.750 0.348
Te: 0.228 0.750 0.073
Te: 0.272 0.250 0.573
Te: 0.434 0.250 0.848
Te: 0.566 0.750 0.152
Te: 0.728 0.750 0.427
Te: 0.772 0.250 0.927
Te: 0.934 0.250 0.652
N: 0.130 0.750 0.789
N: 0.370 0.250 0.289
N: 0.630 0.750 0.711
N: 0.870 0.250 0.211
O: 0.041 0.250 0.933
O: 0.459 0.750 0.433
O: 0.541 0.250 0.567
O: 0.959 0.750 0.067

Output
E_tot	-10.89	eV/atom
size of the total moment	84.00	μB/cell